## Na2NbCoO4 (PBE with a Hubbard U)

Data for a geometry-optimized Na2NbCoO4 structure.

Cell: 5.2075 5.2075 8.8846 Å, 90.00 90.00 90.00°
Closest atoms and distances in Å follow each position.
Space group I-4 (No. 82)
One atom of each set of equivalent atoms:
Na (0.0000, 0.0000, 0.0000) (multiplicity 2)  4 O 2.36
Na (0.0000, 0.5000, 0.2500) (multiplicity 2)  4 O 2.33
Nb (0.0000, 0.0000, 0.5000) (multiplicity 2)  4 O 1.90
Co (0.0000, 0.5000, 0.7500) (multiplicity 2)  4 O 2.06
O (0.1916, 0.2358, 0.6188) (multiplicity 8)  1 Nb 1.90, 1 Co 2.06

Calculated total energy, eV per formula unit: -51.70
Crystal system: tetragonal